Entry 1:
First-principles (PBE) data for a relaxed structure of Tb3ErPt12, as listed in the Alexandria database.

Calculated values
The value obtained for the formation energy is -1030 meV/atom.

Geometry as POSCAR:
```
Tb3ErPt12
1.0
-1.3403 -3.9056 -0.0276
2.2200 -0.7858 3.3919
-12.7958 4.3248 9.3767
Pt Tb Er
12 3 1
Cartesian
-8.6743 0.7525 5.8515
0.4398 -2.3457 1.6821
-11.8872 1.8384 8.2060
-0.4688 0.1407 2.8528
-6.8941 2.3124 7.5613
-10.1071 3.3983 9.9157
-5.9581 -0.1833 6.3705
-3.6817 1.2266 5.2073
-5.4618 -0.3333 3.4975
-2.2489 -1.4192 1.1431
-9.1703 0.9024 8.7244
-2.7458 -1.2690 4.0166
-9.6073 3.2471 7.0402
-3.1885 1.0777 2.3365
-6.3979 2.1624 4.6883
0.0000 0.0000 0.0000
```

=====

Entry 2:
First-principles (PBE) data for a relaxed structure of K2HfNpS4, as listed in the Alexandria database.

Calculated values
Its formation energy (no corrections) is -1.42 eV/atom.

Geometry as POSCAR:
```
K2HfNpS4
1.0
-0.2782 3.5632 1.5261
1.5356 -2.4980 6.1123
6.6963 1.9548 -3.3436
S K Hf Np
4 2 1 1
Cartesian
2.4165 -1.4043 3.7191
6.3467 1.4731 2.6655
5.8154 0.8611 -0.9504
1.6070 1.5469 1.6294
4.1159 -0.2716 1.3844
3.2090 2.7590 -0.9087
0.6287 0.5326 3.8192
0.0000 0.0000 0.0000
```

=====

Entry 3:
First-principles (PBE) data for a relaxed structure of Ta2CdAs, as listed in the Alexandria database.

Calculated values
The value obtained for the formation energy is 166 meV/atom.

Geometry as POSCAR:
```
Ta2CdAs
1.0
9.1351 -0.2062 -0.1210
8.6382 2.9790 -0.1210
8.6382 1.3476 2.6595
As Ta Cd
1 2 1
Cartesian
13.4903 2.1046 1.2348
26.1979 4.0871 2.3980
6.5517 1.0221 0.5997
19.7890 3.0872 1.8113
```

=====

Entry 4:
First-principles (PBE) data for a relaxed structure of La2Zn4SnPd3, as listed in the Alexandria database.

Calculated values
The value obtained for the formation energy is -603 meV/atom.

Geometry as POSCAR:
```
La2Zn4SnPd3
1.0
4.2367 0.0000 0.0000
0.0000 4.2367 0.0000
0.0000 0.0000 11.4259
Pd Zn Sn La
3 4 1 2
Cartesian
0.0000 0.0000 5.7130
0.0000 2.1183 1.5156
2.1183 0.0000 9.9103
2.1183 0.0000 7.3724
0.0000 2.1183 4.0535
2.1183 2.1183 0.0000
0.0000 0.0000 0.0000
2.1183 2.1183 5.7130
2.1183 0.0000 2.7466
0.0000 2.1183 8.6793
```

=====

Entry 5:
First-principles (PBE) data for a relaxed structure of RuS2Br, as listed in the Alexandria database.

Calculated values
Its formation energy (no corrections) is 0.48 eV/atom.

Geometry as POSCAR:
```
RuS2Br
1.0
-1.2840 8.8556 9.1926
-1.6656 6.6127 10.8661
0.9454 7.5472 10.3306
S Br Ru
2 1 1
Cartesian
-0.1175 1.3497 1.7822
-1.8867 21.6657 28.6070
-1.0021 11.5077 15.1946
0.0000 0.0000 0.0000
```

=====

Entry 6:
First-principles (PBE) data for a relaxed structure of CrSi3Tc, as listed in the Alexandria database.

Calculated values
Its formation energy (no corrections) is 0.86 eV/atom.

Geometry as POSCAR:
```
CrSi3Tc
1.0
-3.5690 2.5037 0.3619
-1.2409 -2.2781 3.5225
2.2045 2.7711 2.5687
Si Cr Tc
3 1 1
Cartesian
1.1022 1.3856 1.2844
-1.7845 1.2519 0.1810
-0.6204 -1.1390 1.7612
0.0000 0.0000 0.0000
-1.3027 1.4984 3.2266
```

=====

Entry 7:
First-principles (PBE) data for a relaxed structure of Y12Sn6C, as listed in the Alexandria database.

Calculated values
The value obtained for the formation energy is -565 meV/atom.

Geometry as POSCAR:
```
Y12Sn6C
1.0
-6.1079 5.2975 -1.6881
-5.2794 -6.3214 0.6221
-0.4967 1.5737 8.0930
Y Sn C
12 6 1
Cartesian
-4.6085 2.2895 2.5678
-6.8259 -4.3920 0.7122
-7.2756 -1.7397 4.4592
-6.3523 1.4916 5.7679
-8.1921 1.2575 2.6748
-9.4397 0.4680 -0.7453
-6.3622 5.0334 0.7589
-3.6920 -0.7077 4.3521
-5.5318 -0.9419 1.2590
-2.4444 0.0817 7.7723
-5.0582 4.9418 6.3148
-5.5218 -4.4837 6.2680
-3.3517 2.2854 5.5084
-6.9259 3.9747 3.7887
-5.2923 -1.2791 6.9624
-8.5324 -1.7357 1.5185
-6.5917 1.8288 0.0645
-4.9582 -3.4249 3.2382
0.0000 0.0000 0.0000
```

=====

Entry 8:
First-principles (PBE) data for a relaxed structure of Tl4InHg5, as listed in the Alexandria database.

Calculated values
The value obtained for the formation energy is -10 meV/atom.

Geometry as POSCAR:
```
Tl4InHg5
1.0
-1.5685 3.4136 1.1521
-3.5772 -1.3261 -0.9408
-2.0081 -6.6762 17.0469
Hg In Tl
5 1 4
Cartesian
-3.9853 -3.6521 12.0959
-3.5769 -2.2944 8.6291
-2.7603 0.4207 1.6967
-4.3935 -5.0094 15.5616
-3.1685 -0.9366 5.1624
0.0000 0.0000 0.0000
-1.6193 -5.3834 13.7459
-0.7988 -2.6556 6.7808
-1.2093 -4.0206 10.2661
-0.3889 -1.2928 3.3010
```

=====

Entry 9:
First-principles (PBE) data for a relaxed structure of LaNdGdHo, as listed in the Alexandria database.

Calculated values
The value obtained for the formation energy is 99 meV/atom.

Geometry as POSCAR:
```
LaNdGdHo
1.0
-0.2597 -0.7975 5.7242
-4.6201 -2.5633 2.3568
0.4583 -5.3304 2.2017
Nd Gd Ho La
1 1 1 1
Cartesian
-3.3161 -6.5184 7.7120
-2.2108 -4.3456 5.1413
0.0000 0.0000 0.0000
-1.1054 -2.1728 2.5707
```

=====

Entry 10:
First-principles (PBE) data for a relaxed structure of Zn2HS, as listed in the Alexandria database.

Geometry as POSCAR:
```
Zn2HS
1.0
4.4262 0.0000 0.0000
0.0000 4.4262 0.0000
2.2131 2.2131 6.0590
Zn H S
4 2 2
Cartesian
1.4606 3.3196 1.5148
3.3196 3.6737 4.5443
2.9656 1.1065 1.5148
5.5327 5.1786 4.5443
2.2131 4.4262 3.0295
2.2131 2.2131 0.0000
0.0000 0.0000 0.0000
4.4262 2.2131 3.0295
```

=====

Entry 11:
First-principles (PBE) data for a relaxed structure of NbTl2S2, as listed in the Alexandria database.

Calculated values
Its formation energy (no corrections) is 0.59 eV/atom.

Geometry as POSCAR:
```
NbTl2S2
1.0
-3.9626 -4.0808 -5.3513
6.7282 -2.2683 -3.2524
0.0721 -3.1093 2.3177
S Tl Nb
4 4 2
Cartesian
0.0711 -3.2532 -1.1209
3.9217 -3.8863 -2.0900
2.7666 -6.2052 -5.1650
-1.0840 -5.5722 -4.1960
-1.6168 -2.8773 -3.8097
0.8107 -4.9761 -6.7008
1.9549 -1.3731 -1.9029
4.3824 -3.4718 -4.7940
1.3828 -3.1746 -4.3018
0.0000 0.0000 0.0000
```

=====

Entry 12:
First-principles (PBE) data for a relaxed structure of AcLaPtSe, as listed in the Alexandria database.

Calculated values
Its formation energy (no corrections) is -1.53 eV/atom.

Geometry as POSCAR:
```
AcLaPtSe
1.0
-2.6123 -2.0079 2.7495
-3.1650 -2.4926 -1.4784
2.7613 -7.4959 0.4983
Ac Pt La Se
1 1 1 1
Cartesian
-1.6157 -5.8605 0.8830
-0.8019 -2.9378 0.4416
-5.6807 -4.6240 1.2727
-2.2030 -9.0728 1.3280
```

=====

| no. | electronic total energy (eV/atom) | volume (Å³ per cell) |
| --- | --- | --- |
| 1 | -6.7135 | 280 |
| 2 | -6.6195 | 195 |
| 3 | -7.1519 | 81 |
| 4 | -4.0563 | 205 |
| 5 | -4.3254 | 88 |
| 6 | -6.3944 | 84 |
| 7 | -6.3970 | 562 |
| 8 | -1.3809 | 284 |
| 9 | -6.9892 | 137 |
| 10 | -2.5949 | 119 |
| 11 | -4.0229 | 237 |
| 12 | -6.1743 | 121 |